Entry 1:
This record from Alexandria via LeMat-Bulk describes a relaxed structure of Be2ReTc. The functional is GGA-PBE.

Properties
ΔH_f (0 K) ... 377 meV/atom
Density of states at the Fermi level ... 0.703 states/eV/atom
E above lowest polymorph ... 0.588 eV per atom
Mass density ... 10.5 g cm⁻³

Cell lengths 6.125, 6.125, 5.120 Å; angles 90.00, 90.00, 90.00 degrees
Space group I-42d (No. 122)
Unique sites:
Be (0.247, 0.250, 0.125) [8 per cell]
Re (0.000, 0.000, 0.500) [4 per cell]
Tc (0.000, 0.000, 0.000) [4 per cell]



Entry 2:
This record from Alexandria via LeMat-Bulk describes a relaxed structure of Be2ReTc. The functional is GGA-PBE.

Properties
ΔH_f (0 K) ... 199 meV/atom
Density of states at the Fermi level ... 0.252 states/eV/atom
E above lowest polymorph ... 0.410 eV per atom
Mass density ... 10.0 g cm⁻³

Cell lengths 2.7099, 2.7099, 23.7853 Å; angles 90.00, 90.00, 120.00 degrees
Space group R3m (No. 160, hexagonal axes)
Unique sites:
Be (0.0000, 0.0000, 0.0000) [3 per cell]
Be (0.0000, 0.0000, 0.2557) [3 per cell]
Re (0.0000, 0.0000, 0.7498) [3 per cell]
Tc (0.0000, 0.0000, 0.5066) [3 per cell]



Entry 3:
This record from Alexandria via LeMat-Bulk describes a relaxed structure of Be2ReTc. The functional is GGA-PBE.

Properties
ΔH_f (0 K) ... 39 meV/atom
Density of states at the Fermi level ... 0.627 states/eV/atom
E above lowest polymorph ... 0.250 eV per atom
Mass density ... 10.9 g cm⁻³

Cell lengths 3.006, 3.006, 5.095 Å; angles 90.00, 90.00, 90.00 degrees
Space group P4/mmm (No. 123)
Unique sites:
Be (0.000, 0.000, 0.248) [2 per cell]
Re (0.500, 0.500, 0.500) [1 per cell]
Tc (0.500, 0.500, 0.000) [1 per cell]



Entry 4:
This record from Alexandria via LeMat-Bulk describes a relaxed structure of Be2ReTc. The functional is GGA-PBE.

Properties
ΔH_f (0 K) ... 85 meV/atom
Density of states at the Fermi level ... 1.102 states/eV/atom
E above lowest polymorph ... 0.297 eV per atom
Mass density ... 11.1 g cm⁻³

Cell lengths 5.662, 5.662, 5.662 Å; angles 90.00, 90.00, 90.00 degrees
Space group Fm-3m (No. 225)
Unique sites:
Be (0.250, 0.250, 0.250) [8 per cell]
Re (0.000, 0.000, 0.000) [4 per cell]
Tc (0.000, 0.000, 0.500) [4 per cell]



Let's list final energy in order: -115.04, -88.41, -30.11, -119.70 eV/cell.